(1)
Compound: LiMnO2
Source: the Alexandria database
Functional: GGA+U
Structure: optimized geometry

POSCAR file:
```
LiMnO2
1.0
2.744 -1.436 0.000
2.744 1.436 0.000
-2.315 0.000 4.873
Li Mn O
1 1 2
direct
0.000 0.000 0.000
0.500 0.500 0.500
0.228 0.228 0.731
0.772 0.772 0.269
```

Properties
* size of the total moment: 4.00 μB/cell
* E: -26.48 eV for the cell shown
* SG: C2/m

---

(2)
Compound: LiMnO2
Source: the Alexandria database
Functional: GGA+U
Structure: optimized geometry

POSCAR file:
```
LiMnO2
1.0
-2.223 2.223 4.747
2.223 -2.223 4.747
2.223 2.223 -4.747
Li Mn O
2 2 4
direct
0.000 0.000 0.000
0.750 0.250 0.500
0.250 0.750 0.500
0.500 0.500 0.000
0.142 0.625 0.017
0.375 0.392 0.517
0.608 0.125 0.983
0.875 0.858 0.483
```

Properties
* size of the total moment: 8.00 μB/cell
* E: -51.48 eV for the cell shown
* SG: I-42d

---

(3)
Compound: Li5Mn3O8
Source: the Alexandria database
Functional: GGA+U
Structure: optimized geometry

POSCAR file:
```
Li5Mn3O8
1.0
3.134 -1.509 0.000
3.134 1.509 0.000
-0.713 0.000 18.316
Li Mn O
5 3 8
direct
0.000 0.000 0.000
0.277 0.277 0.895
0.345 0.345 0.342
0.655 0.655 0.658
0.723 0.723 0.105
0.025 0.025 0.208
0.500 0.500 0.500
0.975 0.975 0.792
0.028 0.028 0.097
0.040 0.040 0.307
0.147 0.147 0.551
0.331 0.331 0.202
0.669 0.669 0.798
0.853 0.853 0.449
0.960 0.960 0.693
0.972 0.972 0.903
```

Properties
* size of the total moment: 3.11 μB/cell
* E: -94.71 eV for the cell shown
* SG: C2/m

---

(4)
Compound: Li2Mn5O5
Source: the Alexandria database
Functional: GGA+U
Structure: optimized geometry

POSCAR file:
```
Li2Mn5O5
1.0
-3.691 3.691 2.599
3.691 -3.691 2.599
3.691 3.691 -2.599
Li Mn O
2 5 5
direct
0.000 0.500 0.500
0.500 0.000 0.500
0.111 0.111 0.000
0.380 0.380 0.593
0.380 0.787 0.000
0.787 0.380 0.000
0.787 0.787 0.407
0.270 0.561 0.291
0.270 0.979 0.709
0.561 0.270 0.291
0.697 0.697 0.000
0.979 0.270 0.709
```

Properties
* size of the total moment: 24.15 μB/cell
* E: -79.85 eV for the cell shown
* SG: I4mm

---

(5)
Compound: LiMn2O2
Source: the Alexandria database
Functional: GGA+U
Structure: optimized geometry

POSCAR file:
```
LiMn2O2
1.0
-2.015 2.015 4.530
2.015 -2.015 4.530
2.015 2.015 -4.530
Li Mn O
1 2 2
direct
0.000 0.000 0.000
0.323 0.323 0.000
0.677 0.677 0.000
0.250 0.750 0.500
0.750 0.250 0.500
```

Properties
* size of the total moment: 9.28 μB/cell
* E: -31.96 eV for the cell shown
* SG: I4/mmm

---

(6)
Compound: Li5Mn3O8
Source: the Alexandria database
Functional: GGA+U
Structure: optimized geometry

POSCAR file:
```
Li5Mn3O8
1.0
2.955 0.000 0.000
0.176 5.118 0.000
0.449 1.799 9.714
Li Mn O
5 3 8
direct
0.000 0.000 0.000
0.032 0.741 0.774
0.493 0.789 0.222
0.507 0.211 0.778
0.968 0.259 0.226
0.000 0.500 0.500
0.500 0.000 0.500
0.500 0.500 0.000
0.018 0.385 0.890
0.039 0.147 0.614
0.472 0.630 0.606
0.493 0.158 0.118
0.507 0.842 0.882
0.528 0.370 0.394
0.961 0.853 0.386
0.982 0.615 0.110
```

Properties
* size of the total moment: 9.99 μB/cell
* E: -99.18 eV for the cell shown
* SG: P-1

---

(7)
Compound: Li7Mn5O12
Source: the Alexandria database
Functional: GGA+U
Structure: optimized geometry

POSCAR file:
```
Li7Mn5O12
1.0
4.895 -1.439 0.000
4.895 1.439 0.000
-2.059 0.000 15.754
Li Mn O
7 5 12
direct
0.000 0.000 0.000
0.226 0.226 0.235
0.254 0.254 0.583
0.261 0.261 0.929
0.739 0.739 0.071
0.746 0.746 0.417
0.774 0.774 0.765
0.019 0.019 0.676
0.475 0.475 0.152
0.500 0.500 0.500
0.525 0.525 0.848
0.981 0.981 0.324
0.094 0.094 0.126
0.113 0.113 0.460
0.134 0.134 0.804
0.372 0.372 0.367
0.374 0.374 0.048
0.411 0.411 0.720
0.589 0.589 0.280
0.626 0.626 0.952
0.628 0.628 0.633
0.866 0.866 0.196
0.887 0.887 0.540
0.906 0.906 0.874
```

Properties
* size of the total moment: 18.00 μB/cell
* E: -152.80 eV for the cell shown
* SG: C2/m

---

(8)
Compound: LiMnO2
Source: the Alexandria database
Functional: GGA+U
Structure: optimized geometry

POSCAR file:
```
LiMnO2
1.0
5.209 0.000 0.000
-1.001 5.127 0.000
-2.501 -2.034 7.165
Li Mn O
5 5 10
direct
0.000 0.000 0.000
0.223 0.129 0.732
0.399 0.712 0.906
0.601 0.288 0.094
0.777 0.871 0.268
0.000 0.500 0.500
0.195 0.596 0.190
0.388 0.187 0.391
0.612 0.813 0.609
0.805 0.404 0.810
0.002 0.284 0.263
0.174 0.368 0.960
0.183 0.815 0.425
0.385 0.921 0.154
0.434 0.449 0.664
0.566 0.551 0.336
0.615 0.079 0.846
0.817 0.185 0.575
0.826 0.632 0.040
0.998 0.716 0.737
```

Properties
* size of the total moment: 20.00 μB/cell
* E: -131.62 eV for the cell shown
* SG: P-1